Entry from Alexandria: crystalline CsKTe4 at its relaxed geometry (PBE-GGA).

crystal system = tetragonal
uncorrected formation energy = -0.60 eV/atom
offset from the most stable computed form = 0.00 eV/f.u.

Unit cell a=4.528 b=4.528 c=12.084 alpha=90.00 beta=90.00 gamma=90.00
Space group P4/mmm (No. 123)
Unique sites:
Cs1 0.000 0.000 0.000 (multiplicity 1)
K1 0.500 0.500 0.500 (multiplicity 1)
Te1 0.000 0.500 0.264 (multiplicity 4)


Entry from Alexandria: crystalline YBeRe2 at its relaxed geometry (PBE-GGA).

energy of formation from the pure elements = 0.36 eV/atom
crystal system = monoclinic

Unit cell a=3.284 b=4.471 c=4.683 alpha=90.00 beta=99.52 gamma=90.00
Space group P2/m (No. 10)
Unique sites:
Y1 0.000 0.000 0.000 (multiplicity 1)
Be1 0.500 0.000 0.500 (multiplicity 1)
Re1 0.331 0.500 0.715 (multiplicity 2)


Number 1: M_tot 0.000 μB per atom, theoretical density 4.57 g/cm³. Number 2: M_tot 0.000 μB per atom, theoretical density 11.52 g/cm³.